No. 1
Compound: Tb2Nd6SmHo
Source: the Alexandria database
Functional: GGA-PBE
Structure: relaxed

Calculated values
E_tot = -46.020 eV per formula unit

Lattice parameters (Å, degrees): 8.9771 8.9771 9.7129 93.86 93.86 117.74
Last column: nearest neighbours and their distance in Å.
Element x y z (fractional)
1 Tb 0.2007 0.2993 0.0458  5 Nd 3.31-3.53, 2 Sm 3.44-3.47, 1 Ho 3.56
2 Tb 0.2993 0.2007 0.5458  5 Nd 3.31-3.53, 2 Sm 3.44-3.47, 1 Ho 3.56
3 Tb 0.7007 0.7993 0.4542  5 Nd 3.31-3.53, 2 Sm 3.44-3.47, 1 Ho 3.56
4 Tb 0.7993 0.7007 0.9542  5 Nd 3.31-3.53, 2 Sm 3.44-3.47, 1 Ho 3.56
5 Nd 0.0102 0.5652 0.1875  2 Nd 3.30-3.66, 1 Ho 3.48, 1 Tb 3.48, 1 Sm 3.61
6 Nd 0.1176 0.7587 0.5545  7 Nd 3.46-3.82, 1 Tb 3.53, 1 Sm 3.69
7 Nd 0.2413 0.8824 0.9455  7 Nd 3.46-3.82, 1 Tb 3.53, 1 Sm 3.69
8 Nd 0.2927 0.5096 0.3817  4 Nd 3.30-3.66, 3 Tb 3.31-3.50, 2 Ho 3.47-3.59
9 Nd 0.4348 0.9898 0.3125  2 Nd 3.30-3.66, 1 Ho 3.48, 1 Tb 3.48, 1 Sm 3.61
10 Nd 0.4904 0.7073 0.1183  4 Nd 3.30-3.66, 3 Tb 3.31-3.50, 2 Ho 3.47-3.59
11 Nd 0.5096 0.2927 0.8817  4 Nd 3.30-3.66, 3 Tb 3.31-3.50, 2 Ho 3.47-3.59
12 Nd 0.5652 0.0102 0.6875  2 Nd 3.30-3.66, 1 Ho 3.48, 1 Tb 3.48, 1 Sm 3.61
13 Nd 0.7073 0.4904 0.6183  4 Nd 3.30-3.66, 3 Tb 3.31-3.50, 2 Ho 3.47-3.59
14 Nd 0.7587 0.1176 0.0545  7 Nd 3.46-3.82, 1 Tb 3.53, 1 Sm 3.69
15 Nd 0.8824 0.2413 0.4455  7 Nd 3.46-3.82, 1 Tb 3.53, 1 Sm 3.69
16 Nd 0.9898 0.4348 0.8125  2 Nd 3.30-3.66, 1 Ho 3.48, 1 Tb 3.48, 1 Sm 3.61
17 Sm 0.0261 0.9739 0.2500  4 Tb 3.44-3.47, 4 Nd 3.61-3.69
18 Sm 0.9739 0.0261 0.7500  4 Tb 3.44-3.47, 4 Nd 3.61-3.69
19 Ho 0.4108 0.5892 0.7500  6 Nd 3.47-3.59, 2 Tb 3.56
20 Ho 0.5892 0.4108 0.2500  6 Nd 3.47-3.59, 2 Tb 3.56



No. 2
Compound: Tb2NdSm5Ho
Source: the Alexandria database
Functional: GGA-PBE
Structure: relaxed

Calculated values
E_tot = -40.888 eV per formula unit

Lattice parameters (Å, degrees): 10.5253 10.5253 10.7058 90.00 90.00 148.83
Last column: nearest neighbours and their distance in Å.
Element x y z (fractional)
1 Tb 0.1104 0.8896 0.5000  7 Sm 3.44-3.83, 1 Nd 3.47, 2 Ho 3.71
2 Tb 0.1159 0.8841 0.0831  9 Sm 3.36-3.75, 1 Nd 3.74
3 Tb 0.8841 0.1159 0.5831  9 Sm 3.36-3.75, 1 Nd 3.74
4 Tb 0.8896 0.1104 0.0000  7 Sm 3.44-3.83, 1 Nd 3.47, 2 Ho 3.71
5 Nd 0.2017 0.7983 0.7736  2 Tb 3.47-3.74, 8 Sm 3.52-3.87, 2 Ho 3.68
6 Nd 0.7983 0.2017 0.2736  2 Tb 3.47-3.74, 8 Sm 3.52-3.87, 2 Ho 3.68
7 Sm 0.0168 0.9832 0.7872  2 Ho 3.26, 3 Tb 3.44-3.61
8 Sm 0.2813 0.7187 0.0717  1 Ho 3.08, 1 Tb 3.36, 2 Sm 3.44
9 Sm 0.2985 0.7015 0.4690  3 Sm 3.44-3.68, 1 Ho 3.50, 3 Nd 3.52-3.81, 3 Tb 3.54-3.83
10 Sm 0.3927 0.6073 0.7887  5 Sm 3.48-3.79, 4 Tb 3.59-3.62, 1 Nd 3.87
11 Sm 0.4793 0.5207 0.5049  2 Ho 3.20-3.34, 2 Sm 3.48-3.51, 2 Tb 3.52
12 Sm 0.5207 0.4793 0.0049  2 Ho 3.20-3.34, 2 Sm 3.48-3.51, 2 Tb 3.52
13 Sm 0.6073 0.3927 0.2887  5 Sm 3.48-3.79, 4 Tb 3.59-3.62, 1 Nd 3.87
14 Sm 0.7015 0.2985 0.9690  3 Sm 3.44-3.68, 1 Ho 3.50, 3 Nd 3.52-3.81, 3 Tb 3.54-3.83
15 Sm 0.7187 0.2813 0.5717  1 Ho 3.08, 1 Tb 3.36, 2 Sm 3.44
16 Sm 0.9832 0.0168 0.2872  2 Ho 3.26, 3 Tb 3.44-3.61
17 Ho 0.4113 0.5887 0.2209  5 Sm 3.08-3.34
18 Ho 0.5887 0.4113 0.7209  5 Sm 3.08-3.34



No. 3
Compound: TbNdSm2Ho6
Source: the Alexandria database
Functional: GGA-PBE
Structure: relaxed

Calculated values
E_tot = -45.111 eV per formula unit

Lattice parameters (Å, degrees): 8.7736 8.7736 9.6586 94.33 94.33 117.98
Last column: nearest neighbours and their distance in Å.
Element x y z (fractional)
1 Tb 0.0922 0.9078 0.7500  8 Ho 3.42-3.77, 2 Sm 3.55
2 Tb 0.9078 0.0922 0.2500  8 Ho 3.42-3.77, 2 Sm 3.55
3 Nd 0.4799 0.5201 0.2500  4 Sm 3.37-3.38, 4 Ho 3.60-3.68
4 Nd 0.5201 0.4799 0.7500  4 Sm 3.37-3.38, 4 Ho 3.60-3.68
5 Sm 0.2023 0.3055 0.9566  6 Ho 3.28-3.63, 2 Nd 3.37-3.38, 1 Tb 3.55
6 Sm 0.3055 0.2023 0.4566  6 Ho 3.28-3.63, 2 Nd 3.37-3.38, 1 Tb 3.55
7 Sm 0.6945 0.7977 0.5434  6 Ho 3.28-3.63, 2 Nd 3.37-3.38, 1 Tb 3.55
8 Sm 0.7977 0.6945 0.0434  6 Ho 3.28-3.63, 2 Nd 3.37-3.38, 1 Tb 3.55
9 Ho 0.0072 0.7939 0.3805  4 Ho 3.22-3.49, 3 Sm 3.28-3.45, 2 Tb 3.42-3.56
10 Ho 0.0713 0.5214 0.1846  2 Ho 3.22-3.57, 1 Sm 3.40, 1 Tb 3.47, 1 Nd 3.60
11 Ho 0.2061 0.9928 0.1195  4 Ho 3.22-3.49, 3 Sm 3.28-3.45, 2 Tb 3.42-3.56
12 Ho 0.2425 0.6231 0.5573  8 Ho 3.40-3.78, 1 Sm 3.54, 1 Nd 3.68, 1 Tb 3.77
13 Ho 0.3769 0.7575 0.9427  8 Ho 3.40-3.78, 1 Sm 3.54, 1 Nd 3.68, 1 Tb 3.77
14 Ho 0.4786 0.9287 0.3154  2 Ho 3.22-3.57, 1 Sm 3.40, 1 Tb 3.47, 1 Nd 3.60
15 Ho 0.5214 0.0713 0.6846  2 Ho 3.22-3.57, 1 Sm 3.40, 1 Tb 3.47, 1 Nd 3.60
16 Ho 0.6231 0.2425 0.0573  8 Ho 3.40-3.78, 1 Sm 3.54, 1 Nd 3.68, 1 Tb 3.77
17 Ho 0.7575 0.3769 0.4427  8 Ho 3.40-3.78, 1 Sm 3.54, 1 Nd 3.68, 1 Tb 3.77
18 Ho 0.7939 0.0072 0.8805  4 Ho 3.22-3.49, 3 Sm 3.28-3.45, 2 Tb 3.42-3.56
19 Ho 0.9287 0.4786 0.8154  2 Ho 3.22-3.57, 1 Sm 3.40, 1 Tb 3.47, 1 Nd 3.60
20 Ho 0.9928 0.2061 0.6195  4 Ho 3.22-3.49, 3 Sm 3.28-3.45, 2 Tb 3.42-3.56